Below is Zn3Ga4Ag5 after structural relaxation, with properties calculated at the PBE level.

Calculated values
The total energy is -58.1 eV/cell. The value obtained for the energy of formation from the pure elements is 93.6 meV/atom. For the total magnetic moment, the calculation gives 0.00 μB/cell.

a = 10.1575 Å, b = 5.0378 Å, c = 9.9131 Å
α = 90.00°, β = 120.49°, γ = 90.00°
Space group C2/m (No. 12)
Asymmetric unit:
Zn 0.0000 0.0000 0.0000 [2 per cell]
Zn 0.0821 0.0000 0.7720 [4 per cell]
Ga 0.2155 0.5000 0.9260 [4 per cell]
Ga 0.2206 0.0000 0.3072 [4 per cell]
Ag 0.0000 0.5000 0.0000 [2 per cell]
Ag 0.0261 0.5000 0.3675 [4 per cell]
Ag 0.1586 0.0000 0.5453 [4 per cell]